(1)
This record from the Alexandria database describes a relaxed NaNiBPd2 crystal. The functional is PBE-GGA.

Its total magnetization is 0.00 Bohr magnetons per cell. As for the crystal system: tetragonal. The excess energy over the best structure of this formula in the dataset comes out at 0.00 eV/f.u. The calculation puts the formation energy from the elements at -0.157 eV/atom.

It has space group P4/mmm (No. 123), with a = 4.2307 Å, b = 4.2307 Å, c = 3.9234 Å, α = 90.00°, β = 90.00° and γ = 90.00°. Symmetry generates all atoms from Na at (0.0000, 0.0000, 0.0000), Ni at (0.5000, 0.5000, 0.0000), B at (0.5000, 0.5000, 0.5000) and Pd at (0.0000, 0.5000, 0.5000).

=====

(2)
This record from the Alexandria database describes a relaxed NaNiBPd2 crystal. The functional is PBE-GGA.

Its total magnetization is 0.60 Bohr magnetons per cell. As for the crystal system: tetragonal. The excess energy over the best structure of this formula in the dataset comes out at 2.48 eV/f.u. The calculation puts the formation energy from the elements at 0.339 eV/atom.

It has space group P4/mmm (No. 123), with a = 4.0758 Å, b = 4.0758 Å, c = 4.6294 Å, α = 90.00°, β = 90.00° and γ = 90.00°. Symmetry generates all atoms from Na at (0.0000, 0.0000, 0.0000), Ni at (0.5000, 0.5000, 0.0000), B at (0.0000, 0.0000, 0.5000) and Pd at (0.0000, 0.5000, 0.5000).

=====

(3)
This record from the Alexandria database describes a relaxed NaNi2BPt crystal. The functional is PBE-GGA.

Its total magnetization is 0.00 Bohr magnetons per cell. As for the crystal system: tetragonal. The calculation puts the formation energy from the elements at -0.096 eV/atom.

It has space group P4/mmm (No. 123), with a = 3.9745 Å, b = 3.9745 Å, c = 4.1353 Å, α = 90.00°, β = 90.00° and γ = 90.00°. Symmetry generates all atoms from Na at (0.0000, 0.0000, 0.0000), Ni at (0.0000, 0.5000, 0.5000), B at (0.5000, 0.5000, 0.5000) and Pt at (0.5000, 0.5000, 0.0000).

=====

(4)
This record from the Alexandria database describes a relaxed NaNiB2S4 crystal. The functional is PBE-GGA.

The value obtained for the formation energy (no corrections) is -0.313 eV per atom. Its total magnetization is 2.00 Bohr magnetons per cell. As for the crystal system: orthorhombic.

It has space group I222 (No. 23), with a = 5.4187 Å, b = 7.6208 Å, c = 9.1915 Å, α = 90.00°, β = 90.00° and γ = 90.00°. Symmetry generates all atoms from Na at (0.0000, 0.0000, 0.0000), Ni at (0.0000, 0.5000, 0.0000), B at (0.0000, 0.2033, 0.5000) and S at (0.2447, 0.2011, 0.3862).

=====

(5)
This record from the Alexandria database describes a relaxed NaTc2NiB crystal. The functional is PBE-GGA.

Its total magnetization is 3.15 Bohr magnetons per cell. As for the crystal system: tetragonal. The calculation puts the formation energy from the elements at 2.071 eV/atom.

It has space group P4/mmm (No. 123), with a = 4.4596 Å, b = 4.4596 Å, c = 4.5911 Å, α = 90.00°, β = 90.00° and γ = 90.00°. Symmetry generates all atoms from Na at (0.0000, 0.0000, 0.0000), Tc at (0.0000, 0.5000, 0.5000), Ni at (0.0000, 0.0000, 0.5000) and B at (0.5000, 0.5000, 0.0000).

=====

(6)
This record from the Alexandria database describes a relaxed NaTlNi2B crystal. The functional is PBE-GGA.

Its total magnetization is 0.49 Bohr magnetons per cell. As for the crystal system: tetragonal. The calculation puts the formation energy from the elements at 1.769 eV/atom.

It has space group P4/mmm (No. 123), with a = 4.5351 Å, b = 4.5351 Å, c = 4.3663 Å, α = 90.00°, β = 90.00° and γ = 90.00°. Symmetry generates all atoms from Na at (0.0000, 0.0000, 0.0000), Tl at (0.5000, 0.5000, 0.5000), Ni at (0.0000, 0.5000, 0.0000) and B at (0.0000, 0.0000, 0.5000).

=====

no.,DFT total energy (eV/atom)
1,-4.990
2,-4.494
3,-5.216
4,-4.934
5,-4.831
6,-2.616